VASP calculation (PBE) on an optimized crystal structure of Sm2Y5Er12.

Geometry as POSCAR:
```
Sm2Y5Er12
1.0
-4.1961 -3.0566 3.2515
6.1836 -8.3710 2.0456
-2.0235 11.1193 5.8811
Sm Y Er
2 5 12
Direct
0.5803 0.8433 0.8163 Sm
0.4197 0.1567 0.1837 Sm
0.2630 0.4727 0.5528 Y
0.1595 0.6837 0.1311 Y
0.0000 0.0000 0.5000 Y
0.8405 0.3163 0.8689 Y
0.7370 0.5273 0.4472 Y
0.9465 0.1049 0.2896 Er
0.1047 0.7884 0.9204 Er
0.6317 0.7365 0.0260 Er
0.2100 0.5791 0.3412 Er
0.6831 0.6325 0.2370 Er
0.5247 0.9476 0.6047 Er
0.4753 0.0524 0.3953 Er
0.7900 0.4209 0.6588 Er
0.3169 0.3675 0.7630 Er
0.8953 0.2116 0.0796 Er
0.3683 0.2635 0.9740 Er
0.0535 0.8951 0.7104 Er
```

Summary:
* V: 594.3 Å³/cell
* N(E_F): 27.06 states/eV/f.u.
* SG: P-1, No. 2
* formation enthalpy at 0 K: 0.02 eV per atom
* calculated density: 7.7 g/cm3

=====

VASP calculation (PBE) on an optimized crystal structure of Sm12Y3Er.

Geometry as POSCAR:
```
Sm12Y3Er
1.0
-3.5003 2.6715 2.5864
-2.1043 -4.3517 1.6470
12.2447 0.2522 16.3105
Sm Y Er
12 3 1
Direct
0.5000 0.5000 0.0000 Sm
0.5000 0.5000 0.2492 Sm
0.5000 0.5000 0.5000 Sm
0.5000 0.5000 0.7508 Sm
0.5000 0.0000 0.1240 Sm
0.5000 0.0000 0.3746 Sm
0.5000 0.0000 0.6254 Sm
0.5000 0.0000 0.8760 Sm
0.0000 0.5000 0.1240 Sm
0.0000 0.5000 0.3746 Sm
0.0000 0.5000 0.6254 Sm
0.0000 0.5000 0.8760 Sm
0.0000 0.0000 0.2494 Y
0.0000 0.0000 0.5000 Y
0.0000 0.0000 0.7506 Y
0.0000 0.0000 0.0000 Er
```

Summary:
* V: 531.9 Å³/cell
* N(E_F): 23.86 states/eV/f.u.
* SG: P4/mmm, No. 123
* formation enthalpy at 0 K: 0.02 eV per atom
* calculated density: 7.0 g/cm3

=====

VASP calculation (PBE) on an optimized crystal structure of Sm3Y5Er2.

Geometry as POSCAR:
```
Sm3Y5Er2
1.0
8.4279 1.5335 -3.9038
0.2283 8.5048 -3.9711
-1.7132 -1.8771 10.8170
Sm Y Er
6 10 4
Direct
0.2293 0.9793 0.9587 Sm
0.7707 0.0207 0.0413 Sm
0.7298 0.4720 0.2482 Sm
0.2702 0.5280 0.7518 Sm
0.0185 0.7762 0.2482 Sm
0.9815 0.2238 0.7518 Sm
0.2742 0.5242 0.0485 Y
0.7258 0.4758 0.9515 Y
0.0243 0.7743 0.5487 Y
0.5273 0.2773 0.5546 Y
0.9757 0.2257 0.4513 Y
0.4727 0.7227 0.4454 Y
0.8603 0.6129 0.7402 Y
0.1397 0.3871 0.2598 Y
0.3799 0.1272 0.7402 Y
0.6201 0.8728 0.2598 Y
0.7740 0.0162 0.7439 Er
0.2260 0.9838 0.2561 Er
0.4699 0.7277 0.7439 Er
0.5301 0.2723 0.2561 Er
```

Summary:
* V: 664.0 Å³/cell
* N(E_F): 19.39 states/eV/f.u.
* SG: C2/c, No. 15
* formation enthalpy at 0 K: 0.19 eV per atom
* calculated density: 6.2 g/cm3

=====

VASP calculation (PBE) on an optimized crystal structure of Sm4Y4Er3.

Geometry as POSCAR:
```
Sm4Y4Er3
1.0
3.5429 0.0000 -0.6526
-0.8351 8.0538 -4.5336
0.3746 1.4344 11.9766
Sm Y Er
4 4 3
Direct
0.6420 0.4631 0.2841 Sm
0.3580 0.1790 0.7159 Sm
0.3580 0.5369 0.7159 Sm
0.6420 0.8210 0.2841 Sm
0.7417 0.2417 0.4834 Y
0.2583 0.7583 0.5166 Y
0.5000 0.8178 0.0000 Y
0.5000 0.1822 0.0000 Y
0.8914 0.8914 0.7827 Er
0.1086 0.1086 0.2173 Er
0.0000 0.5000 0.0000 Er
```

Summary:
* V: 367.5 Å³/cell
* N(E_F): 19.28 states/eV/f.u.
* SG: Immm, No. 71
* formation enthalpy at 0 K: 0.13 eV per atom
* calculated density: 6.6 g/cm3

=====

VASP calculation (PBE) on an optimized crystal structure of Sm19Y4Er6.

Geometry as POSCAR:
```
Sm19Y4Er6
1.0
-6.6140 -6.8890 5.2819
-4.0127 1.9842 -9.9529
9.9229 -4.4532 -0.8995
Sm Y Er
19 4 6
Direct
0.7383 0.0000 0.7383 Sm
0.2617 0.0000 0.2617 Sm
0.2617 0.2617 0.0000 Sm
0.7383 0.7383 0.0000 Sm
0.0000 0.7383 0.7383 Sm
0.0000 0.2617 0.2617 Sm
0.0000 0.0000 0.0000 Sm
0.2001 0.2174 0.5419 Sm
0.7999 0.3418 0.0173 Sm
0.6755 0.6582 0.4581 Sm
0.0173 0.7999 0.3418 Sm
0.3245 0.7826 0.9827 Sm
0.5419 0.2001 0.2174 Sm
0.9827 0.3245 0.7826 Sm
0.4581 0.6755 0.6582 Sm
0.7826 0.9827 0.3245 Sm
0.3418 0.0173 0.7999 Sm
0.2174 0.5419 0.2001 Sm
0.6582 0.4581 0.6755 Sm
0.0000 0.0000 0.6407 Y
0.0000 0.6407 0.0000 Y
0.3593 0.3593 0.3593 Y
0.6407 0.0000 0.0000 Y
0.3744 0.5000 0.8744 Er
0.6256 0.5000 0.1256 Er
0.1256 0.6256 0.5000 Er
0.8744 0.3744 0.5000 Er
0.5000 0.8744 0.3744 Er
0.5000 0.1256 0.6256 Er
```

Summary:
* V: 1000.6 Å³/cell
* N(E_F): 45.34 states/eV/f.u.
* SG: I23, No. 197
* formation enthalpy at 0 K: 0.38 eV per atom
* calculated density: 7.0 g/cm3

=====

VASP calculation (PBE) on an optimized crystal structure of Sm2YEr2.

Geometry as POSCAR:
```
Sm2YEr2
1.0
-4.2512 2.9115 2.3896
-1.8459 -0.1243 -3.1325
-3.6840 -14.9212 4.8757
Sm Y Er
4 2 4
Direct
0.7273 0.9773 0.4546 Sm
0.2727 0.0227 0.5454 Sm
0.3722 0.1222 0.7445 Sm
0.6278 0.8778 0.2555 Sm
0.8310 0.5810 0.6620 Y
0.1690 0.4190 0.3380 Y
0.5409 0.2909 0.0818 Er
0.9466 0.1966 0.8933 Er
0.4591 0.7091 0.9182 Er
0.0534 0.8034 0.1067 Er
```

Summary:
* V: 325.8 Å³/cell
* N(E_F): 7.16 states/eV/f.u.
* SG: Imma, No. 74
* formation enthalpy at 0 K: 0.13 eV per atom
* calculated density: 7.4 g/cm3

=====

Repeat the fourth record exactly.
VASP calculation (PBE) on an optimized crystal structure of Sm4Y4Er3.

Geometry as POSCAR:
```
Sm4Y4Er3
1.0
3.5429 0.0000 -0.6526
-0.8351 8.0538 -4.5336
0.3746 1.4344 11.9766
Sm Y Er
4 4 3
Direct
0.6420 0.4631 0.2841 Sm
0.3580 0.1790 0.7159 Sm
0.3580 0.5369 0.7159 Sm
0.6420 0.8210 0.2841 Sm
0.7417 0.2417 0.4834 Y
0.2583 0.7583 0.5166 Y
0.5000 0.8178 0.0000 Y
0.5000 0.1822 0.0000 Y
0.8914 0.8914 0.7827 Er
0.1086 0.1086 0.2173 Er
0.0000 0.5000 0.0000 Er
```

Summary:
* V: 367.5 Å³/cell
* N(E_F): 19.28 states/eV/f.u.
* SG: Immm, No. 71
* formation enthalpy at 0 K: 0.13 eV per atom
* calculated density: 6.6 g/cm3

=====

- What is the formation enthalpy at 0 K in the fifth record?
  0.38 eV per atom

=====

- What is the formula in the sixth record?
  Sm2YEr2

=====

- Which formula does entry 3 have?
  Sm3Y5Er2